1.
First-principles (PBE-GGA) data for a geometry-optimized RhPbSe2 structure, as listed in the Alexandria database.

```
RhPbSe2
1.0
1.888 1.090 7.439
-1.888 1.090 7.439
0.000 -2.180 7.439
Rh Pb Se
1 1 2
direct
0.000 0.000 0.000
0.163 0.163 0.163
0.390 0.390 0.390
0.608 0.608 0.608
```

Computed properties:
The uncorrected formation energy is -0.3336 eV per atom. The space group is R3m, No. 160.

***

2.
First-principles (PBE-GGA) data for a geometry-optimized Dy4YPd2 structure, as listed in the Alexandria database.

```
Dy4YPd2
1.0
7.842 0.000 0.000
0.000 6.371 0.000
-3.123 0.000 7.478
Dy Y Pd
8 2 4
direct
0.020 0.250 0.391
0.247 0.750 0.348
0.408 0.005 0.771
0.408 0.495 0.771
0.592 0.505 0.229
0.592 0.995 0.229
0.753 0.250 0.652
0.980 0.750 0.609
0.154 0.250 0.024
0.846 0.750 0.976
0.239 0.750 0.992
0.382 0.250 0.420
0.618 0.750 0.580
0.761 0.250 0.008
```

Computed properties:
Its formation energy from the elements is -0.438 eV per atom. For the distance to the lowest polymorph of the same formula, the calculation gives 0.00 eV per formula unit. The space group is P2_1/m, No. 11.

***

3.
First-principles (PBE-GGA) data for a geometry-optimized CaNd4Ga5 structure, as listed in the Alexandria database.

```
CaNd4Ga5
1.0
3.685 0.000 0.000
0.000 3.685 0.000
0.000 0.000 18.556
Ca Nd Ga
1 4 5
direct
0.000 0.000 0.000
0.000 0.000 0.198
0.000 0.000 0.400
0.000 0.000 0.600
0.000 0.000 0.802
0.500 0.500 0.098
0.500 0.500 0.300
0.500 0.500 0.500
0.500 0.500 0.700
0.500 0.500 0.902
```

Computed properties:
Its formation energy from the elements is -0.526 eV per atom. The space group is P4/mmm, No. 123.

***

4.
First-principles (PBE-GGA) data for a geometry-optimized Mn2MoSe structure, as listed in the Alexandria database.

```
Mn2MoSe
1.0
1.645 -2.308 0.000
1.645 2.308 0.000
0.000 0.000 8.035
Mn Mo Se
2 1 1
direct
0.000 0.000 0.249
0.000 0.000 0.751
0.500 0.500 0.000
0.500 0.500 0.500
```

Computed properties:
The uncorrected formation energy is 0.2835 eV per atom. The space group is Cmmm, No. 65.

***

5.
First-principles (PBE-GGA) data for a geometry-optimized Na2Sn3Bi3 structure, as listed in the Alexandria database.

```
Na2Sn3Bi3
1.0
2.614 -6.280 0.000
2.614 6.280 0.000
0.000 0.000 15.804
Na Sn Bi
4 6 6
direct
0.229 0.771 0.589
0.229 0.771 0.911
0.771 0.229 0.089
0.771 0.229 0.411
0.407 0.593 0.750
0.442 0.558 0.088
0.442 0.558 0.412
0.558 0.442 0.588
0.558 0.442 0.912
0.593 0.407 0.250
0.082 0.918 0.091
0.082 0.918 0.409
0.251 0.749 0.250
0.749 0.251 0.750
0.918 0.082 0.591
0.918 0.082 0.909
```

Computed properties:
Its formation energy from the elements is -0.058 eV per atom. The space group is Cmcm, No. 63.

***

6.
First-principles (PBE-GGA) data for a geometry-optimized NbAs2SeN structure, as listed in the Alexandria database.

```
NbAs2SeN
1.0
5.041 0.000 0.000
0.000 5.041 0.000
0.000 0.000 5.004
Nb As Se N
1 2 1 1
direct
0.000 0.000 0.000
0.000 0.500 0.000
0.500 0.000 0.000
0.000 0.000 0.500
0.500 0.500 0.500
```

Computed properties:
For the distance to the lowest polymorph of the same formula, the calculation gives 2.36 eV per formula unit. The uncorrected formation energy is 1.1378 eV per atom. The space group is P4/mmm, No. 123.

***

7.
First-principles (PBE-GGA) data for a geometry-optimized BMoAsSe2 structure, as listed in the Alexandria database.

```
BMoAsSe2
1.0
4.465 0.000 0.000
0.000 4.465 0.000
0.000 0.000 4.270
B Mo As Se
1 1 1 2
direct
0.000 0.000 0.000
0.500 0.500 0.500
0.000 0.000 0.500
0.000 0.500 0.000
0.500 0.000 0.000
```

Computed properties:
For the distance to the lowest polymorph of the same formula, the calculation gives 0.00 eV per formula unit. The uncorrected formation energy is 0.9274 eV per atom. The space group is P4/mmm, No. 123.

***

8.
First-principles (PBE-GGA) data for a geometry-optimized FeIr2Se structure, as listed in the Alexandria database.

```
FeIr2Se
1.0
4.087 0.000 0.000
0.000 4.087 0.000
0.000 0.000 3.599
Fe Ir Se
1 2 1
direct
0.000 0.000 0.000
0.000 0.500 0.500
0.500 0.000 0.500
0.500 0.500 0.000
```

Computed properties:
The uncorrected formation energy is 0.4617 eV per atom. The space group is P4/mmm, No. 123.

***

9.
First-principles (PBE-GGA) data for a geometry-optimized LaCrCuTe2 structure, as listed in the Alexandria database.

```
LaCrCuTe2
1.0
5.276 0.000 0.000
0.000 5.276 0.000
0.000 0.000 4.501
La Cr Cu Te
1 1 1 2
direct
0.000 0.000 0.000
0.500 0.500 0.000
0.500 0.500 0.500
0.000 0.500 0.500
0.500 0.000 0.500
```

Computed properties:
The uncorrected formation energy is 0.1851 eV per atom. The space group is P4/mmm, No. 123.

***

Per-record E_tot, eV for the cell shown: -19.363; -76.655; -41.466; -31.521; -53.508; -25.490; -24.490; -27.822; -24.005
Per-record mass density, g/cm3: 8.46; 8.46; 6.36; 7.75; 6.59; 4.38; 6.62; 14.34; 6.76